1.
The following is a GGA-PBE calculation of crystalline Pr6SnAs4 at its relaxed geometry, from Alexandria.

Summary:
The value obtained for the energy relative to the elements is -13.82 eV per formula unit.

abc: 4.315 14.198 21.840
angles: 90.00 90.00 90.00
Space group Cmcm (No. 63)
Symmetry-distinct sites (fractional):
Pr 0.000 0.000 0.000
Pr 0.000 0.171 0.250
Pr 0.000 0.273 0.583
Pr 0.000 0.457 0.161
Sn 0.000 0.163 0.750
As 0.000 0.091 0.126
As 0.000 0.362 0.042

---

2.
The following is a GGA-PBE calculation of crystalline CaTbTc4 at its relaxed geometry, from Alexandria.

Summary:
The value obtained for the energy relative to the elements is 0.35 eV per formula unit.

abc: 7.652 7.652 7.652
angles: 90.00 90.00 90.00
Space group F-43m (No. 216)
Symmetry-distinct sites (fractional):
Ca 0.000 0.000 0.000
Tb 0.250 0.250 0.250
Tc 0.125 0.125 0.625

---

3.
The following is a GGA-PBE calculation of crystalline Pm4Pr3PuSe8 at its relaxed geometry, from Alexandria.

Summary:
The uncorrected formation energy is -1.8072 eV per atom.

abc: 8.4364 8.4364 20.6524
angles: 90.00 90.00 120.00
Space group R-3m (No. 166, hexagonal axes)
Symmetry-distinct sites (fractional):
Pm 0.0000 0.0000 0.0000
Pm 0.0000 0.5000 0.0000
Pr 0.0000 0.5000 0.5000
Pu 0.0000 0.0000 0.5000
Se 0.0000 0.0000 0.2520
Se 0.0051 0.5026 0.2506

---

4.
The following is a GGA-PBE calculation of crystalline CsSmCrBr6 at its relaxed geometry, from Alexandria.

Summary:
The uncorrected formation energy is -1.4403 eV per atom.

abc: 7.2315 7.2315 8.1865
angles: 90.00 90.00 120.00
Space group P312 (No. 149)
Symmetry-distinct sites (fractional):
Cs 0.0000 0.0000 0.0000
Sm 0.6667 0.3333 0.5000
Cr 0.3333 0.6667 0.5000
Br 0.0198 0.3841 0.6949

---

5.
The following is a GGA-PBE calculation of crystalline SmTlIn2Br6 at its relaxed geometry, from Alexandria.

Summary:
The uncorrected formation energy is -1.1932 eV per atom.

abc: 8.171 8.179 8.473
angles: 61.19 61.18 60.04
Space group P1 (No. 1)
Symmetry-distinct sites (fractional):
Sm 0.000 0.000 0.000
Tl 0.491 0.490 0.528
In 0.201 0.201 0.396
In 0.694 0.693 0.920
Br 0.098 0.357 0.738
Br 0.247 0.885 0.212
Br 0.357 0.808 0.737
Br 0.656 0.246 0.213
Br 0.807 0.097 0.738
Br 0.885 0.656 0.213

---

6.
The following is a GGA-PBE calculation of crystalline LaSiRh2 at its relaxed geometry, from Alexandria.

Summary:
The uncorrected formation energy is -0.8748 eV per atom.

abc: 7.148 4.124 5.728
angles: 90.00 114.34 90.00
Space group C2/m (No. 12)
Symmetry-distinct sites (fractional):
La 0.000 0.000 0.000
Si 0.000 0.500 0.500
Rh 0.210 0.000 0.630

---

7.
The following is a GGA-PBE calculation of crystalline Pa3Ag5S12 at its relaxed geometry, from Alexandria.

Summary:
The uncorrected formation energy is -0.7159 eV per atom.

abc: 15.256 15.256 15.256
angles: 90.00 90.00 90.00
Space group Ia-3d (No. 230)
Symmetry-distinct sites (fractional):
Pa 0.000 0.250 0.125
Ag 0.000 0.000 0.000
Ag 0.000 0.250 0.375
S 0.017 0.070 0.654

---

8.
The following is a GGA-PBE calculation of crystalline NaB2C at its relaxed geometry, from Alexandria.

Summary:
The value obtained for the energy relative to the elements is 3.54 eV per formula unit.

abc: 5.060 5.060 7.190
angles: 90.00 90.00 90.00
Space group I-42d (No. 122)
Symmetry-distinct sites (fractional):
Na 0.000 0.000 0.000
B 0.036 0.750 0.625
C 0.000 0.000 0.500

---

9.
The following is a GGA-PBE calculation of crystalline MgNb2Co at its relaxed geometry, from Alexandria.

Summary:
The value obtained for the energy relative to the elements is 1.69 eV per formula unit.

abc: 2.8433 2.8433 30.0833
angles: 90.00 90.00 120.00
Space group R-3m (No. 166, hexagonal axes)
Symmetry-distinct sites (fractional):
Mg 0.0000 0.0000 0.0000
Nb 0.0000 0.0000 0.0965
Co 0.0000 0.0000 0.5000

---

10.
The following is a GGA-PBE calculation of crystalline Pr6Nd2Ni at its relaxed geometry, from Alexandria.

Summary:
The value obtained for the energy relative to the elements is 0.19 eV per formula unit.

abc: 9.121 17.357 3.747
angles: 90.00 97.25 90.00
Space group C2/m (No. 12)
Symmetry-distinct sites (fractional):
Pr 0.156 0.179 0.301
Pr 0.187 0.000 0.805
Nd 0.000 0.377 0.000
Ni 0.000 0.500 0.500

---

11.
The following is a GGA-PBE calculation of crystalline Ac2YZrS6 at its relaxed geometry, from Alexandria.

Summary:
The uncorrected formation energy is -1.8836 eV per atom.

abc: 10.206 10.424 7.003
angles: 90.00 133.29 90.00
Space group Cm (No. 8)
Symmetry-distinct sites (fractional):
Ac 0.000 0.215 0.000
Y 0.421 0.000 0.505
Zr 0.394 0.500 0.469
S 0.078 0.500 0.007
S 0.092 0.000 0.366
S 0.188 0.000 0.971
S 0.243 0.500 0.654
S 0.398 0.255 0.475

---

12.
The following is a GGA-PBE calculation of crystalline Li3Cr3WS8 at its relaxed geometry, from Alexandria.

Summary:
The uncorrected formation energy is -0.8335 eV per atom.

abc: 6.8851 6.8851 18.3497
angles: 90.00 90.00 120.00
Space group R-3m (No. 166, hexagonal axes)
Symmetry-distinct sites (fractional):
Li 0.0000 0.5000 0.0000
Cr 0.0000 0.5000 0.5000
W 0.0000 0.0000 0.5000
S 0.0000 0.0000 0.2403
S 0.0060 0.5030 0.7574